{"formula": "BeFeCu2", "functional": "GGA-PBE", "state": "optimized geometry", "n_ef_per_ev_cell": 5.98, "space_group": "Immm (71)", "total_energy_ev_per_atom": -5.02, "lattice_angstrom": [[2.5772, 0.0000, 0.0000], [0.0000, 4.0646, 0.0000], [0.0000, 0.0000, 8.2583]], "species": ["Be", "Be", "Fe", "Fe", "Cu", "Cu", "Cu", "Cu"], "fractional_positions": [[0.0000, 0.0000, 0.0000], [0.5000, 0.5000, 0.5000], [0.0000, 0.0000, 0.5000], [0.5000, 0.5000, 0.0000], [0.0000, 0.5000, 0.2740], [0.0000, 0.5000, 0.7260], [0.5000, 0.0000, 0.2260], [0.5000, 0.0000, 0.7740]]}

=====

{"formula": "DyAlIr", "functional": "GGA-PBE", "state": "optimized geometry", "n_ef_per_ev_cell": 6.00, "space_group": "Fddd (70)", "total_energy_ev_per_atom": -6.41, "lattice_angstrom": [[0.0000, 5.6322, 5.9385], [3.7686, 0.0000, 5.9385], [3.7686, 5.6322, 0.0000]], "species": ["Dy", "Dy", "Dy", "Dy", "Al", "Al", "Al", "Al", "Ir", "Ir", "Ir", "Ir"], "fractional_positions": [[0.0000, 0.0000, 0.0000], [0.0000, 0.0000, 0.5000], [0.0000, 0.5000, 0.0000], [0.5000, 0.0000, 0.0000], [0.2485, 0.5015, 0.2485], [0.4985, 0.7515, 0.4985], [0.5015, 0.2485, 0.5015], [0.7515, 0.4985, 0.7515], [0.1967, 0.1967, 0.5533], [0.4467, 0.4467, 0.8033], [0.5533, 0.5533, 0.1967], [0.8033, 0.8033, 0.4467]]}

=====

| no. | M_tot (μB per formula unit) |
| --- | --- |
| 1 | 2.2 |
| 2 | 0.0 |